# 1
The following is a PBE-GGA calculation of crystalline AlAs2Rh at its relaxed geometry, from Alexandria.

The energy relative to the elements comes out at -0.192 eV per atom. The space-group type is C2/m.

Cell: 3.6822 3.6822 6.4214 Å, 106.61 106.61 59.83°
Atoms (fractional coordinates):
1 Al 0.0000 0.0000 0.0000
2 As 0.2432 0.2432 0.7293
3 As 0.7568 0.7568 0.2707
4 Rh 0.5000 0.5000 0.5000

# 2
The following is a PBE-GGA calculation of crystalline RbSiAu3 at its relaxed geometry, from Alexandria.

The space-group type is Amm2. For the distance to the lowest polymorph of the same formula, the calculation gives 0.055 eV/atom. For the uncorrected formation energy, the calculation gives -0.22 eV per atom.

Cell: 3.4832 5.9910 5.9910 Å, 71.32 90.00 90.00°
Atoms (fractional coordinates):
1 Rb 0.0000 0.0000 0.0000
2 Si 0.5000 0.3532 0.3532
3 Au 0.0000 0.5322 0.5322
4 Au 0.5000 0.5238 0.9294
5 Au 0.5000 0.9294 0.5238

# 3
The following is a PBE-GGA calculation of crystalline SrTaPb2 at its relaxed geometry, from Alexandria.

The energy relative to the elements comes out at 0.440 eV per atom. The space-group type is C2/m.

Cell: 5.7690 5.7690 3.3428 Å, 95.58 95.58 104.91°
Atoms (fractional coordinates):
1 Sr 0.0000 0.0000 0.0000
2 Ta 0.5000 0.5000 0.0000
3 Pb 0.0000 0.5000 0.5000
4 Pb 0.5000 0.0000 0.5000

# 4
The following is a PBE-GGA calculation of crystalline ZnIn3Ir at its relaxed geometry, from Alexandria.

The energy relative to the elements comes out at 0.018 eV per atom. The space-group type is Pm-3m. For the distance to the lowest polymorph of the same formula, the calculation gives 0.000 eV/atom.

Cell: 5.1964 5.1964 5.1964 Å, 90.00 90.00 90.00°
Atoms (fractional coordinates):
1 Zn 0.0000 0.0000 0.0000
2 In 0.0000 0.5000 0.5000
3 In 0.5000 0.0000 0.5000
4 In 0.5000 0.5000 0.0000
5 Ir 0.5000 0.5000 0.5000

# 5
The following is a PBE-GGA calculation of crystalline Ga2SnGe2 at its relaxed geometry, from Alexandria.

The energy relative to the elements comes out at 0.130 eV per atom. The space-group type is P4/mbm. For the distance to the lowest polymorph of the same formula, the calculation gives 0.000 eV/atom.

Cell: 8.1356 8.1356 3.1541 Å, 90.00 90.00 90.00°
Atoms (fractional coordinates):
1 Ga 0.1389 0.3611 0.0000
2 Ga 0.3611 0.8611 0.0000
3 Ga 0.6389 0.1389 0.0000
4 Ga 0.8611 0.6389 0.0000
5 Sn 0.0000 0.0000 0.5000
6 Sn 0.5000 0.5000 0.5000
7 Ge 0.1561 0.6561 0.5000
8 Ge 0.3439 0.1561 0.5000
9 Ge 0.6561 0.8439 0.5000
10 Ge 0.8439 0.3439 0.5000

# 6
The following is a PBE-GGA calculation of crystalline Li2NbAg at its relaxed geometry, from Alexandria.

The energy relative to the elements comes out at 0.673 eV per atom. The space-group type is I-42d. For the distance to the lowest polymorph of the same formula, the calculation gives 0.472 eV/atom.

Cell: 5.7023 5.7023 5.7023 Å, 103.59 103.59 122.01°
Atoms (fractional coordinates):
1 Li 0.1004 0.6250 0.9754
2 Li 0.3750 0.3504 0.4754
3 Li 0.6496 0.1250 0.0246
4 Li 0.8750 0.8996 0.5246
5 Nb 0.2500 0.7500 0.5000
6 Nb 0.5000 0.5000 0.0000
7 Ag 0.0000 0.0000 0.0000
8 Ag 0.7500 0.2500 0.5000

# 7
The following is a PBE-GGA calculation of crystalline LiCr2Tc at its relaxed geometry, from Alexandria.

The energy relative to the elements comes out at 0.528 eV per atom. The space-group type is P4/mmm.

Cell: 2.4740 2.4740 8.8266 Å, 90.00 90.00 90.00°
Atoms (fractional coordinates):
1 Li 0.0000 0.0000 0.0000
2 Cr 0.5000 0.5000 0.2592
3 Cr 0.5000 0.5000 0.7408
4 Tc 0.0000 0.0000 0.5000

# 8
The following is a PBE-GGA calculation of crystalline ErScAlPt at its relaxed geometry, from Alexandria.

The energy relative to the elements comes out at -0.769 eV per atom. The space-group type is F-43m.

Cell: 4.8607 4.8607 4.8607 Å, 60.00 60.00 60.00°
Atoms (fractional coordinates):
1 Er 0.0000 0.0000 0.0000
2 Sc 0.5000 0.5000 0.5000
3 Al 0.7500 0.7500 0.7500
4 Pt 0.2500 0.2500 0.2500

# 9
The following is a PBE-GGA calculation of crystalline Cs2MnZn at its relaxed geometry, from Alexandria.

The energy relative to the elements comes out at 0.758 eV per atom. The space-group type is Fm-3m.

Cell: 6.4655 6.4655 6.4655 Å, 60.00 60.00 60.00°
Atoms (fractional coordinates):
1 Cs 0.2500 0.2500 0.2500
2 Cs 0.7500 0.7500 0.7500
3 Mn 0.0000 0.0000 0.0000
4 Zn 0.5000 0.5000 0.5000

# 10
The following is a PBE-GGA calculation of crystalline Mg2Mn3 at its relaxed geometry, from Alexandria.

The energy relative to the elements comes out at 0.764 eV per atom. The space-group type is P-3m1. For the distance to the lowest polymorph of the same formula, the calculation gives 0.368 eV/atom.

Cell: 4.4725 4.4725 5.5571 Å, 90.00 90.00 120.00°
Atoms (fractional coordinates):
1 Mg 0.3333 0.6667 0.3437
2 Mg 0.6667 0.3333 0.6563
3 Mn 0.0000 0.0000 0.5000
4 Mn 0.3333 0.6667 0.8508
5 Mn 0.6667 0.3333 0.1492

# 11
The following is a PBE-GGA calculation of crystalline NpMnBeP2 at its relaxed geometry, from Alexandria.

The energy relative to the elements comes out at -0.565 eV per atom. The space-group type is I-4m2.

Cell: 6.3133 6.3133 6.3133 Å, 147.81 147.81 46.17°
Atoms (fractional coordinates):
1 Np 0.0000 0.0000 0.0000
2 Mn 0.7500 0.2500 0.5000
3 Be 0.2500 0.7500 0.5000
4 P 0.3735 0.3735 0.0000
5 P 0.6265 0.6265 0.0000

# 12
The following is a PBE-GGA calculation of crystalline Tb2GeBr at its relaxed geometry, from Alexandria.

The space-group type is R3m. For the distance to the lowest polymorph of the same formula, the calculation gives 0.041 eV/atom. For the uncorrected formation energy, the calculation gives -1.05 eV per atom.

Cell: 7.7580 7.7580 7.7580 Å, 30.92 30.92 30.92°
Atoms (fractional coordinates):
1 Tb 0.0000 0.0000 0.0000
2 Tb 0.1972 0.1972 0.1972
3 Ge 0.5999 0.5999 0.5999
4 Br 0.4291 0.4291 0.4291

# 13
The following is a PBE-GGA calculation of crystalline Tl3OsI2F6 at its relaxed geometry, from Alexandria.

The space-group type is C2/m. For the uncorrected formation energy, the calculation gives -1.44 eV per atom.

Cell: 9.4178 9.4178 5.4088 Å, 93.44 93.44 50.29°
Atoms (fractional coordinates):
1 Tl 0.0000 0.0000 0.0000
2 Tl 0.0000 0.5000 0.5000
3 Tl 0.5000 0.0000 0.5000
4 Os 0.5000 0.5000 0.5000
5 I 0.1974 0.1974 0.9895
6 I 0.8026 0.8026 0.0105
7 F 0.3052 0.6509 0.2603
8 F 0.3491 0.6948 0.7397
9 F 0.3905 0.3905 0.5701
10 F 0.6095 0.6095 0.4299
11 F 0.6509 0.3052 0.2603
12 F 0.6948 0.3491 0.7397

# 14
The following is a PBE-GGA calculation of crystalline MnCr2Rh at its relaxed geometry, from Alexandria.

The energy relative to the elements comes out at 0.106 eV per atom. The space-group type is Cm. For the distance to the lowest polymorph of the same formula, the calculation gives 0.110 eV/atom.

Cell: 4.4742 4.4742 4.5100 Å, 99.83 99.83 34.05°
Atoms (fractional coordinates):
1 Mn 0.0000 0.0000 0.0000
2 Cr 0.2524 0.2524 0.7779
3 Cr 0.4991 0.4991 0.5127
4 Rh 0.7491 0.7491 0.2781

# 15
The following is a PBE-GGA calculation of crystalline Sr2LiN at its relaxed geometry, from Alexandria.

The space-group type is I4mm. For the uncorrected formation energy, the calculation gives -0.28 eV per atom.

Cell: 7.4818 7.4818 7.4818 Å, 149.64 149.64 43.48°
Atoms (fractional coordinates):
1 Sr 0.0000 0.0000 0.0000
2 Sr 0.3141 0.3141 0.0000
3 Li 0.6286 0.6286 0.0000
4 N 0.4869 0.4869 0.0000

# 16
The following is a PBE-GGA calculation of crystalline SrMg6C at its relaxed geometry, from Alexandria.

The energy relative to the elements comes out at 0.323 eV per atom. The space-group type is Amm2. For the distance to the lowest polymorph of the same formula, the calculation gives 0.026 eV/atom.

Cell: 3.5149 10.6850 10.6850 Å, 31.26 90.00 90.00°
Atoms (fractional coordinates):
1 Sr 0.0000 0.0000 0.0000
2 Mg 0.0000 0.0013 0.4926
3 Mg 0.0000 0.4926 0.0013
4 Mg 0.5000 0.1324 0.5935
5 Mg 0.5000 0.1437 0.1437
6 Mg 0.5000 0.5935 0.1324
7 Mg 0.5000 0.6121 0.6121
8 C 0.0000 0.3348 0.3348

# 17
The following is a PBE-GGA calculation of crystalline MnBiRh2 at its relaxed geometry, from Alexandria.

The energy relative to the elements comes out at 0.602 eV per atom. The space-group type is I-42d.

Cell: 9.2078 9.2078 9.2078 Å, 154.73 154.73 36.04°
Atoms (fractional coordinates):
1 Mn 0.0000 0.0000 0.0000
2 Mn 0.7500 0.2500 0.5000
3 Bi 0.2500 0.7500 0.5000
4 Bi 0.5000 0.5000 0.0000
5 Rh 0.0838 0.6250 0.9588
6 Rh 0.3750 0.3338 0.4588
7 Rh 0.6662 0.1250 0.0412
8 Rh 0.8750 0.9162 0.5412

# 18
The following is a PBE-GGA calculation of crystalline Rb3Tl4Cl8 at its relaxed geometry, from Alexandria.

The space-group type is C2/m. For the uncorrected formation energy, the calculation gives -1.33 eV per atom.

Cell: 9.2724 9.2724 9.2329 Å, 119.81 119.81 90.09°
Atoms (fractional coordinates):
1 Rb 0.0000 0.0000 0.0000
2 Rb 0.0000 0.5000 0.5000
3 Rb 0.5000 0.0000 0.5000
4 Tl 0.0000 0.5000 0.0000
5 Tl 0.5000 0.0000 0.0000
6 Tl 0.5000 0.5000 0.0000
7 Tl 0.5000 0.5000 0.5000
8 Cl 0.2515 0.7485 0.0000
9 Cl 0.2782 0.2782 0.0536
10 Cl 0.2778 0.7222 0.5000
11 Cl 0.2809 0.2809 0.5039
12 Cl 0.7191 0.7191 0.4961
13 Cl 0.7222 0.2778 0.5000
14 Cl 0.7218 0.7218 0.9464
15 Cl 0.7485 0.2515 0.0000

# 19
The following is a PBE-GGA calculation of crystalline ErICl at its relaxed geometry, from Alexandria.

The space-group type is P-1. For the distance to the lowest polymorph of the same formula, the calculation gives 0.000 eV/atom. For the uncorrected formation energy, the calculation gives -1.54 eV per atom.

Cell: 3.9070 6.7624 8.6269 Å, 106.97 101.90 90.01°
Atoms (fractional coordinates):
1 Er 0.2485 0.2838 0.4969
2 Er 0.7515 0.7162 0.5031
3 I 0.3778 0.6963 0.7806
4 I 0.6222 0.3037 0.2194
5 Cl 0.1740 0.8569 0.3328
6 Cl 0.8260 0.1431 0.6672

# 20
The following is a PBE-GGA calculation of crystalline HoSi2Au2 at its relaxed geometry, from Alexandria.

The space-group type is I4/mmm. For the uncorrected formation energy, the calculation gives -0.53 eV per atom.

Cell: 5.9391 5.9391 5.9391 Å, 137.96 137.96 60.97°
Atoms (fractional coordinates):
1 Ho 0.0000 0.0000 0.0000
2 Si 0.3883 0.3883 0.0000
3 Si 0.6117 0.6117 0.0000
4 Au 0.2500 0.7500 0.5000
5 Au 0.7500 0.2500 0.5000

# 21
The following is a PBE-GGA calculation of crystalline Al2ReSe at its relaxed geometry, from Alexandria.

The space-group type is P4mm. For the uncorrected formation energy, the calculation gives 0.19 eV per atom.

Cell: 3.4297 3.4297 5.6122 Å, 90.00 90.00 90.00°
Atoms (fractional coordinates):
1 Al 0.0000 0.0000 0.0000
2 Al 0.5000 0.5000 0.2773
3 Re 0.0000 0.0000 0.4446
4 Se 0.5000 0.5000 0.7857

# 22
The following is a PBE-GGA calculation of crystalline La3Nd3In2Ge at its relaxed geometry, from Alexandria.

The energy relative to the elements comes out at -0.417 eV per atom. The space-group type is P-62m.

Cell: 8.8597 8.8597 4.1751 Å, 90.00 90.00 120.00°
Atoms (fractional coordinates):
1 La 0.0000 0.7399 0.0000
2 La 0.2601 0.2601 0.0000
3 La 0.7399 0.0000 0.0000
4 Nd 0.0000 0.3954 0.5000
5 Nd 0.3954 0.0000 0.5000
6 Nd 0.6046 0.6046 0.5000
7 In 0.3333 0.6667 0.0000
8 In 0.6667 0.3333 0.0000
9 Ge 0.0000 0.0000 0.5000

# 23
The following is a PBE-GGA calculation of crystalline Na3U2PdSe6 at its relaxed geometry, from Alexandria.

The space-group type is C2/m. For the uncorrected formation energy, the calculation gives -1.03 eV per atom.

Cell: 7.0222 7.0222 7.3850 Å, 99.09 99.09 119.93°
Atoms (fractional coordinates):
1 Na 0.0000 0.0000 0.0000
2 Na 0.3377 0.6623 0.0000
3 Na 0.6623 0.3377 0.0000
4 U 0.1672 0.8328 0.5000
5 U 0.8328 0.1672 0.5000
6 Pd 0.5000 0.5000 0.5000
7 Se 0.0847 0.4239 0.2719
8 Se 0.2368 0.2368 0.7273
9 Se 0.4239 0.0847 0.2719
10 Se 0.5761 0.9153 0.7281
11 Se 0.7632 0.7632 0.2727
12 Se 0.9153 0.5761 0.7281

# 24
The following is a PBE-GGA calculation of crystalline CoTc2NiPd at its relaxed geometry, from Alexandria.

The energy relative to the elements comes out at 1.347 eV per atom. The space-group type is P4/mmm.

Cell: 4.3850 4.3850 4.2462 Å, 90.00 90.00 90.00°
Atoms (fractional coordinates):
1 Co 0.0000 0.0000 0.0000
2 Tc 0.0000 0.5000 0.5000
3 Tc 0.5000 0.0000 0.5000
4 Ni 0.0000 0.0000 0.5000
5 Pd 0.5000 0.5000 0.0000

# 25
The following is a PBE-GGA calculation of crystalline Th2MnN3 at its relaxed geometry, from Alexandria.

The space-group type is Immm. For the uncorrected formation energy, the calculation gives -1.34 eV per atom.

Cell: 6.8712 6.8712 6.8712 Å, 150.10 147.36 44.85°
Atoms (fractional coordinates):
1 Th 0.1444 0.1444 0.0000
2 Th 0.8556 0.8556 0.0000
3 Mn 0.5000 0.5000 0.0000
4 N 0.0000 0.5000 0.5000
5 N 0.3374 0.3374 0.0000
6 N 0.6626 0.6626 0.0000

# 26
The following is a PBE-GGA calculation of crystalline Ti6MoRh5 at its relaxed geometry, from Alexandria.

The energy relative to the elements comes out at -0.710 eV per atom. The space-group type is P2/m.

Cell: 4.3706 6.3107 6.8947 Å, 90.00 108.19 90.00°
Atoms (fractional coordinates):
1 Ti 0.0000 0.2470 0.0000
2 Ti 0.0000 0.7530 0.0000
3 Ti 0.3348 0.2491 0.6694
4 Ti 0.3348 0.7509 0.6694
5 Ti 0.6652 0.2491 0.3306
6 Ti 0.6652 0.7509 0.3306
7 Mo 0.5000 0.0000 0.0000
8 Rh 0.1668 0.5000 0.3337
9 Rh 0.1688 0.0000 0.3381
10 Rh 0.5000 0.5000 0.0000
11 Rh 0.8312 0.0000 0.6619
12 Rh 0.8332 0.5000 0.6663

# 27
The following is a PBE-GGA calculation of crystalline KMgSb at its relaxed geometry, from Alexandria.

The space-group type is Imm2. For the uncorrected formation energy, the calculation gives -0.20 eV per atom.

Cell: 6.8967 6.8967 6.8967 Å, 146.56 143.56 50.29°
Atoms (fractional coordinates):
1 K 0.0000 0.0000 0.0000
2 Mg 0.7365 0.7365 0.0000
3 Sb 0.2826 0.2826 0.0000

The DOS at the Fermi energy results, record by record, are as follows: 1.9, 1.3, 3.1, 1.3, 2.1, 3.2, 4.6, 2.4, 5.7, 6.1, 6.1, 2.5, 2.2, 5.4, 2.0, 2.6, 7.3, 6.2, 0.1, 1.3, 2.9, 13.0, 14.7, 7.2, 2.5, 9.8, 1.2 states/eV/f.u..